The following is a PBE calculation of a relaxed structure of AlZnF2, from Alexandria via LeMat-Bulk.

Cell: 4.312 4.312 4.312 Å, 60.00 60.00 60.00°
Atoms (fractional coordinates):
Al 0.000 0.000 0.000
Zn 0.500 0.500 0.500
F 0.250 0.250 0.250
F 0.750 0.750 0.750

Calculated values
Spin magnetization (μB/f.u.): 0.0
Formation energy (no corrections) (meV/atom): -965.4
Space group: Fm-3m (225)

***

The following is a PBE calculation of a relaxed structure of Bi5Ir2O12, from Alexandria via LeMat-Bulk.

Cell: 7.106 7.106 7.418 Å, 104.92 104.92 51.85°
Atoms (fractional coordinates):
Bi 0.000 0.000 0.000
Bi 0.302 0.302 0.142
Bi 0.304 0.304 0.663
Bi 0.696 0.696 0.337
Bi 0.698 0.698 0.858
Ir 0.248 0.752 0.500
Ir 0.752 0.248 0.500
O 0.001 0.001 0.330
O 0.094 0.601 0.919
O 0.104 0.572 0.417
O 0.399 0.906 0.081
O 0.428 0.896 0.583
O 0.497 0.497 0.676
O 0.503 0.503 0.324
O 0.572 0.104 0.417
O 0.601 0.094 0.919
O 0.896 0.428 0.583
O 0.906 0.399 0.081
O 0.999 0.999 0.670

Calculated values
Spin magnetization (μB/f.u.): 0.0
Formation energy (no corrections) (meV/atom): -1070.9
Space group: C2/m (12)

***

The following is a PBE calculation of a relaxed structure of CoIr2Rh, from Alexandria via LeMat-Bulk.

Cell: 4.641 4.641 4.623 Å, 99.87 99.87 33.85°
Atoms (fractional coordinates):
Co 0.000 0.000 0.000
Ir 0.497 0.497 0.495
Ir 0.747 0.747 0.251
Rh 0.250 0.250 0.758

Calculated values
Spin magnetization (μB/f.u.): 1.7
Space group: Cm (8)
Total DFT energy (no corrections) (eV per cell): -32.1

***

The following is a PBE calculation of a relaxed structure of SmUCo2, from Alexandria via LeMat-Bulk.

Cell: 3.284 3.284 6.899 Å, 90.00 90.00 90.00°
Atoms (fractional coordinates):
Sm 0.000 0.000 0.000
U 0.000 0.000 0.500
Co 0.500 0.500 0.311
Co 0.500 0.500 0.689

Calculated values
Spin magnetization (μB/f.u.): 0.4
Space group: P4/mmm (123)
Total DFT energy (no corrections) (eV per cell): -30.5

***

The following is a PBE calculation of a relaxed structure of Cu3Br, from Alexandria via LeMat-Bulk.

Cell: 5.070 5.070 5.070 Å, 137.25 136.22 62.85°
Atoms (fractional coordinates):
Cu 0.000 0.000 0.000
Cu 0.249 0.749 0.500
Cu 0.751 0.251 0.500
Br 0.500 0.500 0.000

Calculated values
Spin magnetization (μB/f.u.): 0.0
Formation energy (no corrections) (meV/atom): 454.3
Space group: Immm (71)

***

The following is a PBE calculation of a relaxed structure of SrTaO3, from Alexandria via LeMat-Bulk.

Cell: 5.052 5.052 5.052 Å, 86.98 86.98 86.98°
Atoms (fractional coordinates):
Sr 0.000 0.000 0.000
Ta 0.654 0.654 0.654
O 0.449 0.871 0.871
O 0.871 0.449 0.871
O 0.871 0.871 0.449

Calculated values
Spin magnetization (μB/f.u.): 1.0
Formation energy (no corrections) (meV/atom): -2333.0
Space group: R3m (160)

***

The following is a PBE calculation of a relaxed structure of FeNi9Pt2, from Alexandria via LeMat-Bulk.

Cell: 3.623 3.623 10.853 Å, 90.00 90.00 90.00°
Atoms (fractional coordinates):
Fe 0.000 0.000 0.000
Ni 0.000 0.500 0.158
Ni 0.000 0.500 0.500
Ni 0.000 0.500 0.842
Ni 0.500 0.000 0.158
Ni 0.500 0.000 0.500
Ni 0.500 0.000 0.842
Ni 0.500 0.500 0.000
Ni 0.500 0.500 0.327
Ni 0.500 0.500 0.673
Pt 0.000 0.000 0.331
Pt 0.000 0.000 0.669

Calculated values
Spin magnetization (μB/f.u.): 10.1
Space group: P4/mmm (123)
Total DFT energy (no corrections) (eV per cell): -73.5

***

The following is a PBE calculation of a relaxed structure of Ca6Ge2HN, from Alexandria via LeMat-Bulk.

Cell: 6.835 6.858 11.838 Å, 90.00 125.21 90.00°
Atoms (fractional coordinates):
Ca 0.180 0.009 0.241
Ca 0.180 0.491 0.741
Ca 0.237 0.726 0.031
Ca 0.237 0.774 0.531
Ca 0.305 0.207 0.032
Ca 0.305 0.293 0.532
Ca 0.695 0.707 0.468
Ca 0.695 0.793 0.968
Ca 0.763 0.226 0.469
Ca 0.763 0.274 0.969
Ca 0.820 0.509 0.259
Ca 0.820 0.991 0.759
Ge 0.256 0.028 0.750
Ge 0.256 0.472 0.250
Ge 0.744 0.528 0.750
Ge 0.744 0.972 0.250
H 0.500 0.000 0.500
H 0.500 0.500 0.000
N 0.000 0.000 0.000
N 0.000 0.500 0.500

Calculated values
Spin magnetization (μB/f.u.): 0.0
Space group: P2_1/c (14)
Total DFT energy (no corrections) (eV per cell): -80.2

***

The following is a PBE calculation of a relaxed structure of Cr2NiRh, from Alexandria via LeMat-Bulk.

Cell: 4.822 4.822 4.822 Å, 144.62 128.59 63.96°
Atoms (fractional coordinates):
Cr 0.000 0.000 0.000
Cr 0.787 0.287 0.500
Ni 0.250 0.750 0.500
Rh 0.529 0.529 0.000

Calculated values
Spin magnetization (μB/f.u.): 0.8
Space group: Imm2 (44)
Total DFT energy (no corrections) (eV per cell): -31.9

***

The following is a PBE calculation of a relaxed structure of Ce2Pu2Ge4Au, from Alexandria via LeMat-Bulk.

Cell: 6.651 6.651 6.651 Å, 115.53 115.53 97.94°
Atoms (fractional coordinates):
Ce 0.250 0.750 0.500
Ce 0.750 0.250 0.500
Pu 0.170 0.170 0.000
Pu 0.830 0.830 0.000
Ge 0.250 0.250 0.501
Ge 0.250 0.750 0.000
Ge 0.750 0.250 0.000
Ge 0.750 0.750 0.499
Au 0.500 0.500 0.000

Calculated values
Spin magnetization (μB/f.u.): 13.3
Space group: I4/mmm (139)
Total DFT energy (no corrections) (eV per cell): -64.8

***

The following is a PBE calculation of a relaxed structure of Zn2CuPt, from Alexandria via LeMat-Bulk.

Cell: 2.803 3.652 5.461 Å, 90.00 90.91 90.00°
Atoms (fractional coordinates):
Zn 0.002 0.000 0.257
Zn 0.998 0.000 0.743
Cu 0.500 0.500 0.500
Pt 0.500 0.500 0.000

Calculated values
Spin magnetization (μB/f.u.): 0.0
Space group: P2/m (10)
Total DFT energy (no corrections) (eV per cell): -14.0

***

The following is a PBE calculation of a relaxed structure of Tl2AuS2, from Alexandria via LeMat-Bulk.

Cell: 6.849 6.849 5.277 Å, 90.00 90.00 90.00°
Atoms (fractional coordinates):
Tl 0.167 0.333 0.000
Tl 0.333 0.833 0.000
Tl 0.667 0.167 0.000
Tl 0.833 0.667 0.000
Au 0.000 0.000 0.500
Au 0.500 0.500 0.500
S 0.163 0.663 0.500
S 0.337 0.163 0.500
S 0.663 0.837 0.500
S 0.837 0.337 0.500

Calculated values
Spin magnetization (μB/f.u.): 0.0
Formation energy (no corrections) (meV/atom): 5.6
Space group: P4/mbm (127)

***

The following is a PBE calculation of a relaxed structure of Ce2NdZn, from Alexandria via LeMat-Bulk.

Cell: 5.314 5.314 5.314 Å, 60.00 60.00 60.00°
Atoms (fractional coordinates):
Ce 0.250 0.250 0.250
Ce 0.750 0.750 0.750
Nd 0.000 0.000 0.000
Zn 0.500 0.500 0.500

Calculated values
Spin magnetization (μB/f.u.): 0.8
Space group: Fm-3m (225)
Total DFT energy (no corrections) (eV per cell): -17.4

***

The following is a PBE calculation of a relaxed structure of FeNi2As, from Alexandria via LeMat-Bulk.

Cell: 3.146 3.146 5.033 Å, 90.00 90.00 90.00°
Atoms (fractional coordinates):
Fe 0.000 0.000 0.000
Ni 0.500 0.500 0.242
Ni 0.500 0.500 0.758
As 0.000 0.000 0.500

Calculated values
Spin magnetization (μB/f.u.): 3.5
Space group: P4/mmm (123)
Total DFT energy (no corrections) (eV per cell): -24.8

***

The following is a PBE calculation of a relaxed structure of TiGaCu, from Alexandria via LeMat-Bulk.

Cell: 4.972 4.972 4.972 Å, 120.72 118.11 91.04°
Atoms (fractional coordinates):
Ti 0.379 0.129 0.250
Ti 0.621 0.871 0.750
Ga 0.000 0.500 0.500
Ga 0.500 0.500 0.000
Cu 0.000 0.000 0.500
Cu 0.000 0.500 0.000

Calculated values
Spin magnetization (μB/f.u.): 1.0
Space group: Imma (74)
Total DFT energy (no corrections) (eV per cell): -31.8

***

The following is a PBE calculation of a relaxed structure of CePmHoSc, from Alexandria via LeMat-Bulk.

Cell: 5.564 5.564 5.564 Å, 60.00 60.00 60.00°
Atoms (fractional coordinates):
Ce 0.000 0.000 0.000
Pm 0.750 0.750 0.750
Ho 0.500 0.500 0.500
Sc 0.250 0.250 0.250

Calculated values
Spin magnetization (μB/f.u.): 1.7
Space group: F-43m (216)
Total DFT energy (no corrections) (eV per cell): -20.8

***

The following is a PBE calculation of a relaxed structure of In4FeTe, from Alexandria via LeMat-Bulk.

Cell: 6.106 6.106 6.106 Å, 60.00 60.00 60.00°
Atoms (fractional coordinates):
In 0.376 0.376 0.376
In 0.376 0.376 0.873
In 0.376 0.873 0.376
In 0.873 0.376 0.376
Fe 0.750 0.750 0.750
Te 0.000 0.000 0.000

Calculated values
Spin magnetization (μB/f.u.): 3.2
Formation energy (no corrections) (meV/atom): 532.5
Space group: F-43m (216)

***

The following is a PBE calculation of a relaxed structure of Li2GaAu2, from Alexandria via LeMat-Bulk.

Cell: 7.608 7.608 2.845 Å, 90.00 90.00 90.00°
Atoms (fractional coordinates):
Li 0.134 0.366 0.000
Li 0.366 0.866 0.000
Li 0.634 0.134 0.000
Li 0.866 0.634 0.000
Ga 0.000 0.000 0.000
Ga 0.500 0.500 0.000
Au 0.161 0.661 0.500
Au 0.339 0.161 0.500
Au 0.661 0.839 0.500
Au 0.839 0.339 0.500

Calculated values
Spin magnetization (μB/f.u.): 0.0
Space group: P4/mbm (127)
Total DFT energy (no corrections) (eV per cell): -30.4

***

The following is a PBE calculation of a relaxed structure of TlHI2N, from Alexandria via LeMat-Bulk.

Cell: 6.787 6.787 3.015 Å, 90.00 90.00 90.00°
Atoms (fractional coordinates):
Tl 0.000 0.000 0.000
H 0.500 0.500 0.500
I 0.000 0.500 0.500
I 0.500 0.000 0.500
N 0.500 0.500 0.000

Calculated values
Spin magnetization (μB/f.u.): 1.9
Space group: P4/mmm (123)
Total DFT energy (no corrections) (eV per cell): -13.4

***

The following is a PBE calculation of a relaxed structure of CsLiHg2Au, from Alexandria via LeMat-Bulk.

Cell: 5.542 5.542 5.245 Å, 90.00 90.00 90.00°
Atoms (fractional coordinates):
Cs 0.000 0.000 0.000
Li 0.500 0.500 0.000
Hg 0.000 0.500 0.500
Hg 0.500 0.000 0.500
Au 0.500 0.500 0.500

Calculated values
Spin magnetization (μB/f.u.): 0.0
Space group: P4/mmm (123)
Total DFT energy (no corrections) (eV per cell): -7.6